Entry from Alexandria: a relaxed structure of BaSr2Pd2 (PBEsol).

Lattice parameters (Å, degrees): 4.4849 8.1683 8.1683 90.00 90.00 90.00
With the nearest neighbours (Å) after each atom.
Element x y z (fractional)
1 Sr 0.5000 0.6594 0.8406  6 Pd 3.22-3.40
2 Sr 0.5000 0.8406 0.3406  6 Pd 3.22-3.40
3 Sr 0.5000 0.1594 0.6594  6 Pd 3.22-3.40
4 Sr 0.5000 0.3406 0.1594  6 Pd 3.22-3.40
5 Pd 0.0000 0.6199 0.1199  1 Pd 2.77
6 Pd 0.0000 0.1199 0.3801  1 Pd 2.77
7 Pd 0.0000 0.8801 0.6199  1 Pd 2.77
8 Pd 0.0000 0.3801 0.8801  1 Pd 2.77
9 Ba 0.0000 0.0000 0.0000  4 Pd 3.26
10 Ba 0.0000 0.5000 0.5000  4 Pd 3.26

E_form   -0.418 eV per atom
Crystal system   tetragonal
Raw total energy   -3.967 eV/atom
Total magnetization   0.0 μB per formula unit
ρ   5.83 g/cm3


Entry from Alexandria: a relaxed structure of Tl2Ni2Mo3O12 (PBEsol).

Lattice parameters (Å, degrees): 10.5076 10.5076 10.5076 90.00 90.00 90.00
With the nearest neighbours (Å) after each atom.
Element x y z (fractional)
1 O 0.9564 0.2242 0.5288  1 Mo 1.77
2 O 0.2401 0.3963 0.1896  1 Mo 1.76, 1 Ni 1.96
3 O 0.6037 0.6896 0.2599  1 Mo 1.76, 1 Ni 1.96
4 O 0.4637 0.6749 0.5157  1 Mo 1.78
5 O 0.4564 0.2758 0.4712  1 Mo 1.77
6 O 0.6896 0.2599 0.6037  1 Mo 1.76, 1 Ni 1.96
7 O 0.0363 0.3251 0.0157  1 Mo 1.78
8 O 0.8251 0.4843 0.9637  1 Mo 1.78
9 O 0.7660 0.5513 0.7090  1 Mo 1.76
10 O 0.0513 0.7910 0.2340  1 Mo 1.76
11 O 0.3251 0.0157 0.0363  1 Mo 1.78
12 O 0.3963 0.1896 0.2401  1 Mo 1.76, 1 Ni 1.96
13 O 0.7758 0.0288 0.5436  1 Mo 1.77
14 O 0.1037 0.8104 0.7401  1 Mo 1.76, 1 Ni 1.96
15 O 0.3104 0.7599 0.8963  1 Mo 1.76, 1 Ni 1.96
16 O 0.0157 0.0363 0.3251  1 Mo 1.78
17 O 0.2090 0.7340 0.4487  1 Mo 1.76
18 O 0.0436 0.7242 0.9712  1 Mo 1.77
19 O 0.7401 0.1037 0.8104  1 Mo 1.76, 1 Ni 1.96
20 O 0.5157 0.4637 0.6749  1 Mo 1.78
21 O 0.7242 0.9712 0.0436  1 Mo 1.77
22 O 0.2910 0.2660 0.9487  1 Mo 1.76
23 O 0.5363 0.1749 0.9843  1 Mo 1.78
24 O 0.2242 0.5288 0.9564  1 Mo 1.77
25 O 0.9843 0.5363 0.1749  1 Mo 1.78
26 O 0.7599 0.8963 0.3104  1 Mo 1.76, 1 Ni 1.96
27 O 0.4487 0.2090 0.7340  1 Mo 1.76
28 O 0.5288 0.9564 0.2242  1 Mo 1.77
29 O 0.7340 0.4487 0.2090  1 Mo 1.76
30 O 0.0288 0.5436 0.7758  1 Mo 1.77
31 O 0.2599 0.6037 0.6896  1 Mo 1.76, 1 Ni 1.96
32 O 0.6749 0.5157 0.4637  1 Mo 1.78
33 O 0.8104 0.7401 0.1037  1 Mo 1.76, 1 Ni 1.96
34 O 0.2660 0.9487 0.2910  1 Mo 1.76
35 O 0.5436 0.7758 0.0288  1 Mo 1.77
36 O 0.8963 0.3104 0.7599  1 Mo 1.76, 1 Ni 1.96
37 O 0.2758 0.4712 0.4564  1 Mo 1.77
38 O 0.7910 0.2340 0.0513  1 Mo 1.76
39 O 0.9487 0.2910 0.2660  1 Mo 1.76
40 O 0.4843 0.9637 0.8251  1 Mo 1.78
41 O 0.1896 0.2401 0.3963  1 Mo 1.76, 1 Ni 1.96
42 O 0.1749 0.9843 0.5363  1 Mo 1.78
43 O 0.2340 0.0513 0.7910  1 Mo 1.76
44 O 0.9637 0.8251 0.4843  1 Mo 1.78
45 O 0.4712 0.4564 0.2758  1 Mo 1.77
46 O 0.9712 0.0436 0.7242  1 Mo 1.77
47 O 0.7090 0.7660 0.5513  1 Mo 1.76
48 O 0.5513 0.7090 0.7660  1 Mo 1.76
49 Tl 0.6713 0.1713 0.3287  9 O 2.92-3.24
50 Tl 0.8287 0.8287 0.8287  9 O 2.92-3.24
51 Tl 0.3287 0.6713 0.1713  9 O 2.92-3.24
52 Tl 0.1713 0.3287 0.6713  9 O 2.92-3.24
53 Tl 0.9473 0.5527 0.4473  3 O 2.89
54 Tl 0.0527 0.0527 0.0527  3 O 2.89
55 Tl 0.5527 0.4473 0.9473  3 O 2.89
56 Tl 0.4473 0.9473 0.5527  3 O 2.89
57 Mo 0.3792 0.0291 0.1967  4 O 1.76-1.78
58 Mo 0.6208 0.5291 0.3033  4 O 1.76-1.78
59 Mo 0.1208 0.9709 0.6967  4 O 1.76-1.78
60 Mo 0.4709 0.8033 0.8792  4 O 1.76-1.78
61 Mo 0.1967 0.3792 0.0291  4 O 1.76-1.78
62 Mo 0.3033 0.6208 0.5291  4 O 1.76-1.78
63 Mo 0.8792 0.4709 0.8033  4 O 1.76-1.78
64 Mo 0.8033 0.8792 0.4709  4 O 1.76-1.78
65 Mo 0.6967 0.1208 0.9709  4 O 1.76-1.78
66 Mo 0.9709 0.6967 0.1208  4 O 1.76-1.78
67 Mo 0.5291 0.3033 0.6208  4 O 1.76-1.78
68 Mo 0.0291 0.1967 0.3792  4 O 1.76-1.78
69 Ni 0.8848 0.3848 0.1152  6 O 1.98-2.01
70 Ni 0.1152 0.8848 0.3848  6 O 1.98-2.01
71 Ni 0.6152 0.6152 0.6152  6 O 1.98-2.01
72 Ni 0.8378 0.1622 0.6622  6 O 1.96-1.99
73 Ni 0.6622 0.8378 0.1622  6 O 1.96-1.99
74 Ni 0.3378 0.3378 0.3378  6 O 1.96-1.99
75 Ni 0.3848 0.1152 0.8848  6 O 1.98-2.01
76 Ni 0.1622 0.6622 0.8378  6 O 1.96-1.99

Crystal system   cubic
Raw total energy   -7.613 eV/atom
Formation energy without anion corrections   -1.51 eV per atom
Total magnetization   4.1 μB per formula unit
ρ   5.76 g/cm3


Entry from Alexandria: a relaxed structure of Li2MgH4 (PBEsol).

Lattice parameters (Å, degrees): 2.9005 4.8552 9.1393 90.00 90.00 90.00
With the nearest neighbours (Å) after each atom.
Element x y z (fractional)
1 Li 0.5000 0.0230 0.2913  6 H 1.88-2.10
2 Li 0.5000 0.4770 0.7913  6 H 1.88-2.10
3 Li 0.5000 0.9770 0.7087  6 H 1.88-2.10
4 Li 0.5000 0.5230 0.2087  6 H 1.88-2.10
5 H 0.5000 0.7878 0.9144  2 Li 1.88-2.09, 2 Mg 1.94
6 H 0.5000 0.2878 0.5856  2 Li 1.88-2.09, 2 Mg 1.94
7 H 0.5000 0.2122 0.0856  2 Li 1.88-2.09, 2 Mg 1.94
8 H 0.0000 0.2127 0.8188  1 Mg 1.95, 4 Li 1.95-2.10
9 H 0.0000 0.2873 0.3188  1 Mg 1.95, 4 Li 1.95-2.10
10 H 0.5000 0.7122 0.4144  2 Li 1.88-2.09, 2 Mg 1.94
11 H 0.0000 0.7873 0.1812  1 Mg 1.95, 4 Li 1.95-2.10
12 H 0.0000 0.7127 0.6812  1 Mg 1.95, 4 Li 1.95-2.10
13 Mg 0.0000 0.5000 0.5000  6 H 1.94-1.95
14 Mg 0.0000 0.0000 0.0000  6 H 1.94-1.95

Crystal system   orthorhombic
Raw total energy   -2.992 eV/atom
Total magnetization   0.0 μB per formula unit
ρ   1.09 g/cm3


Entry from Alexandria: a relaxed structure of Nb3NCl (PBEsol).

Lattice parameters (Å, degrees): 4.2640 4.2640 4.2640 90.00 90.00 90.00
With the nearest neighbours (Å) after each atom.
Element x y z (fractional)
1 Nb 0.5000 0.0000 0.0000  2 N 2.13
2 Nb 0.0000 0.0000 0.5000  2 N 2.13
3 Nb 0.0000 0.5000 0.0000  2 N 2.13
4 N 0.0000 0.0000 0.0000  6 Nb 2.13
5 Cl 0.5000 0.5000 0.5000  12 Nb 3.02

Crystal system   cubic
Raw total energy   -8.612 eV/atom
Formation energy without anion corrections   -0.01 eV per atom
Total magnetization   0.0 μB per formula unit
ρ   7.03 g/cm3


Entry from Alexandria: a relaxed structure of RbLiNd2Mo4O16 (PBEsol).

Lattice parameters (Å, degrees): 5.2674 6.9632 19.6029 88.62 86.35 67.78
With the nearest neighbours (Å) after each atom.
Element x y z (fractional)
1 O 0.2646 0.9612 0.9604  1 Mo 1.81
2 O 0.8189 0.6665 0.9574  1 Mo 1.83
3 O 0.4860 0.5715 0.2146  1 Mo 1.73
4 O 0.2692 0.7316 0.6692  1 Mo 1.74
5 O 0.1060 0.3129 0.8651  1 Mo 1.78
6 O 0.0008 0.2684 0.1692  1 Mo 1.74
7 O 0.2327 0.0895 0.6023  1 Mo 1.76
8 O 0.3222 0.9105 0.1023  1 Mo 1.76
9 O 0.4189 0.6871 0.3651  1 Mo 1.78
10 O 0.5811 0.3129 0.6349  1 Mo 1.78
11 O 0.8940 0.6871 0.1349  1 Mo 1.78
12 O 0.1811 0.3335 0.0426  1 Mo 1.83
13 O 0.9333 0.4764 0.4312  1 Mo 1.84
14 O 0.2980 0.1850 0.3299  1 Mo 1.74
15 O 0.7308 0.2684 0.3308  1 Mo 1.74
16 O 0.7673 0.9105 0.3977  1 Mo 1.76
17 O 0.5170 0.1850 0.1701  1 Mo 1.74
18 O 0.7742 0.9612 0.5396  1 Mo 1.81
19 O 0.5903 0.4764 0.0688  1 Mo 1.84
20 O 0.4854 0.3335 0.4574  1 Mo 1.83
21 O 0.4097 0.5236 0.9312  1 Mo 1.84
22 O 0.4830 0.8150 0.8299  1 Mo 1.74
23 O 0.2258 0.0388 0.4604  1 Mo 1.81
24 O 0.5146 0.6665 0.5426  1 Mo 1.83
25 O 0.5140 0.4285 0.7854  1 Mo 1.73
26 O 0.0667 0.5236 0.5688  1 Mo 1.84
27 O 0.0575 0.4285 0.7146  1 Mo 1.73
28 O 0.7020 0.8150 0.6701  1 Mo 1.74
29 O 0.7354 0.0388 0.0396  1 Mo 1.81
30 O 0.9992 0.7316 0.8308  1 Mo 1.74
31 O 0.6778 0.0895 0.8977  1 Mo 1.76
32 O 0.9425 0.5715 0.2854  1 Mo 1.73
33 Mo 0.7394 0.5012 0.1487  4 O 1.73-1.84
34 Mo 0.5811 0.8746 0.9070  4 O 1.74-1.83
35 Mo 0.2407 0.4988 0.6487  4 O 1.73-1.84
36 Mo 0.4556 0.1254 0.4070  4 O 1.74-1.83
37 Mo 0.7593 0.5012 0.3513  4 O 1.73-1.84
38 Mo 0.2606 0.4988 0.8513  4 O 1.73-1.84
39 Mo 0.5444 0.8746 0.5930  4 O 1.74-1.83
40 Mo 0.4189 0.1254 0.0930  4 O 1.74-1.83
41 Rb 0.0360 0.9279 0.2500  4 O 2.77
42 Rb 0.9640 0.0721 0.7500  4 O 2.77
43 Nd 0.1467 0.7075 0.0334  8 O 2.36-2.54
44 Nd 0.8542 0.2925 0.5334  8 O 2.36-2.54
45 Nd 0.8533 0.2925 0.9666  8 O 2.36-2.54
46 Nd 0.1458 0.7075 0.4666  8 O 2.36-2.54
47 Li 0.6836 0.6329 0.7500  4 O 2.01-2.03
48 Li 0.3164 0.3671 0.2500  4 O 2.01-2.03

Crystal system   monoclinic
Raw total energy   -8.446 eV/atom
Formation energy without anion corrections   -2.43 eV per atom
Total magnetization   0.0 μB per formula unit
ρ   5.10 g/cm3


Entry from Alexandria: a relaxed structure of Sc3InPt (PBEsol).

Lattice parameters (Å, degrees): 5.0157 5.0157 5.0157 90.00 90.00 90.00
With the nearest neighbours (Å) after each atom.
Element x y z (fractional)
1 In 0.5000 0.5000 0.5000  12 Sc 3.55
2 Pt 0.0000 0.0000 0.0000  6 Sc 2.51
3 Sc 0.0000 0.0000 0.5000  2 Pt 2.51
4 Sc 0.5000 0.0000 0.0000  2 Pt 2.51
5 Sc 0.0000 0.5000 0.0000  2 Pt 2.51

E_form   -0.350 eV per atom
Crystal system   cubic
Raw total energy   -6.302 eV/atom
Total magnetization   0.0 μB per formula unit
ρ   5.85 g/cm3


Entry from Alexandria: a relaxed structure of TeSe2I (PBEsol).

Lattice parameters (Å, degrees): 3.6251 3.6251 9.9168 79.47 79.47 60.00
With the nearest neighbours (Å) after each atom.
Element x y z (fractional)
1 Se 0.9108 0.9108 0.2676  1 Te 2.59
2 Se 0.0892 0.0892 0.7324  1 Te 2.59
3 Te 0.0000 0.0000 0.0000  2 Se 2.59
4 I 0.5000 0.5000 0.5000  6 Se 3.07

Crystal system   trigonal
Energy above the lowest structure with this stoichiometry   1.29 eV/f.u.
Raw total energy   -2.837 eV/atom
Formation energy without anion corrections   0.41 eV per atom
Total magnetization   0.0 μB per formula unit
ρ   6.21 g/cm3


Entry from Alexandria: a relaxed structure of MgCo2Mo (PBEsol).

Lattice parameters (Å, degrees): 2.6236 4.3133 5.2462 114.27 104.48 90.00
With the nearest neighbours (Å) after each atom.
Element x y z (fractional)
1 Mg 0.4898 0.4898 0.9796  6 Co 2.53-2.80, 2 Mg 2.62
2 Mo 0.2803 0.7803 0.5606  6 Co 2.48-2.58, 2 Mo 2.62
3 Co 0.7204 0.2204 0.4408  2 Co 2.34, 4 Mo 2.58
4 Co 0.0095 0.0095 0.0190  2 Co 2.34, 2 Mo 2.48, 4 Mg 2.53

E_form   0.224 eV per atom
Crystal system   orthorhombic
Raw total energy   -7.016 eV/atom
Total magnetization   0.0 μB per formula unit
ρ   7.60 g/cm3


Q: Number 4 is which compound?
A: Nb3NCl


Q: The lowest ρ belongs to which entry?
A: Li2MgH4